# 1
VASP calculation (GGA-PBE) on a geometry-optimized Zr5PaHg4 structure.

The calculation puts the volume at 221 Å³ per cell. The formation energy comes out at -0.082 eV per atom.

Cell lengths 3.6122, 3.6122, 16.9506 Å; angles 90.00, 90.00, 90.00 degrees
Space group P4/mmm (No. 123)
Unique sites:
Zr  0.0000  0.0000  0.0000 [1 per cell]
Zr  0.0000  0.0000  0.1970 [2 per cell]
Zr  0.0000  0.0000  0.4006 [2 per cell]
Pa  0.5000  0.5000  0.5000 [1 per cell]
Hg  0.5000  0.5000  0.0990 [2 per cell]
Hg  0.5000  0.5000  0.2987 [2 per cell]

# 2
VASP calculation (GGA-PBE) on a geometry-optimized Zr2PaHg3 structure.

The calculation puts the volume at 134 Å³ per cell. The formation energy comes out at -0.092 eV per atom.

Cell lengths 3.1887, 3.1887, 13.2093 Å; angles 90.00, 90.00, 90.00 degrees
Space group P4/mmm (No. 123)
Unique sites:
Zr  0.0000  0.0000  0.1605 [2 per cell]
Pa  0.0000  0.0000  0.5000 [1 per cell]
Hg  0.5000  0.5000  0.0000 [1 per cell]
Hg  0.5000  0.5000  0.3206 [2 per cell]